Entry 1:
## CaPaCuRh (PBE)

Data for a geometry-optimized CaPaCuRh structure.

Values from the calculation:
volume = 328.20 Å³ per cell
formation enthalpy at 0 K = -0.1753 eV/atom
size of the total moment = 0.000 μB/f.u.

```
data_CaPaCuRh
_cell_length_a 6.8978
_cell_length_b 6.8978
_cell_length_c 6.8978
_cell_angle_alpha 90.00
_cell_angle_beta 90.00
_cell_angle_gamma 90.00
_space_group_name_H-M_alt 'F -4 3 m'
_space_group_IT_number 216
_space_group_name_Hall 'F -4 2 3'
loop_
_atom_site_label
_atom_site_type_symbol
_atom_site_fract_x
_atom_site_fract_y
_atom_site_fract_z
_atom_site_occupancy
Ca1 Ca 0.0000 0.0000 0.0000 1
Pa1 Pa 0.0000 0.0000 0.5000 1
Cu1 Cu 0.2500 0.2500 0.7500 1
Rh1 Rh 0.2500 0.2500 0.2500 1
```

---

Entry 2:
## CaPa2CuS8 (PBE)

Data for a geometry-optimized CaPa2CuS8 structure.

Values from the calculation:
volume = 243.78 Å³ per cell
final energy = -5.84 eV per atom
size of the total moment = 0.000 μB/f.u.

```
data_CaPa2CuS8
_cell_length_a 5.8835
_cell_length_b 5.8835
_cell_length_c 8.1319
_cell_angle_alpha 90.00
_cell_angle_beta 90.00
_cell_angle_gamma 120.00
_space_group_name_H-M_alt 'P -3 m 1'
_space_group_IT_number 164
_space_group_name_Hall '-P 3 2"'
loop_
_atom_site_label
_atom_site_type_symbol
_atom_site_fract_x
_atom_site_fract_y
_atom_site_fract_z
_atom_site_occupancy
Ca1 Ca 0.0000 0.0000 0.0000 1
Pa1 Pa 0.3333 0.6667 0.3679 1
Cu1 Cu 0.0000 0.0000 0.5000 1
S1 S 0.1750 0.3501 0.6758 1
S2 S 0.3333 0.6667 0.0659 1
```

---

Entry 3:
## Ca2PaCuS5 (PBE)

Data for a geometry-optimized Ca2PaCuS5 structure.

Values from the calculation:
volume = 879.13 Å³ per cell
final energy = -5.83 eV per atom
size of the total moment = 0.000 μB/f.u.

```
data_Ca2PaCuS5
_cell_length_a 4.0084
_cell_length_b 16.1551
_cell_length_c 13.5759
_cell_angle_alpha 90.00
_cell_angle_beta 90.00
_cell_angle_gamma 90.00
_space_group_name_H-M_alt 'C m c 21'
_space_group_IT_number 36
loop_
_space_group_symop_operation_xyz
'x,y,z'
'-x,-y,z+1/2'
'-x,y,z'
'x,-y,z+1/2'
'x+1/2,y+1/2,z'
'-x+1/2,-y+1/2,z+1/2'
'-x+1/2,y+1/2,z'
'x+1/2,-y+1/2,z+1/2'
loop_
_atom_site_label
_atom_site_type_symbol
_atom_site_fract_x
_atom_site_fract_y
_atom_site_fract_z
_atom_site_occupancy
Ca1 Ca 0.0000 0.0779 0.0000 1
Ca2 Ca 0.0000 0.0785 0.7172 1
Pa1 Pa 0.0000 0.2220 0.3653 1
Cu1 Cu 0.0000 0.4094 0.7566 1
S1 S 0.0000 0.0621 0.3484 1
S2 S 0.0000 0.2636 0.9939 1
S3 S 0.0000 0.2674 0.7332 1
S4 S 0.0000 0.3849 0.3593 1
S5 S 0.0000 0.4932 0.6167 1
```

---

Entry 4:
## CaPaCuSe4 (PBE)

Data for a geometry-optimized CaPaCuSe4 structure.

Values from the calculation:
volume = 713.33 Å³ per cell
final energy = -5.29 eV per atom
size of the total moment = 0.000 μB/f.u.

```
data_CaPaCuSe4
_cell_length_a 7.4421
_cell_length_b 9.3426
_cell_length_c 10.2596
_cell_angle_alpha 90.00
_cell_angle_beta 90.00
_cell_angle_gamma 90.00
_space_group_name_H-M_alt 'C m c m'
_space_group_IT_number 63
_space_group_name_Hall '-C 2c 2'
loop_
_atom_site_label
_atom_site_type_symbol
_atom_site_fract_x
_atom_site_fract_y
_atom_site_fract_z
_atom_site_occupancy
Ca1 Ca 0.0000 0.0000 0.0000 1
Pa1 Pa 0.0000 0.2997 0.2500 1
Cu1 Cu 0.0000 0.3456 0.7500 1
Se1 Se 0.0000 0.3009 0.5065 1
Se2 Se 0.2230 0.0223 0.2500 1
```

---

Entry 5:
## CaCu2Pb2 (PBE)

Data for a geometry-optimized CaCu2Pb2 structure.

Values from the calculation:
volume = 227.33 Å³ per cell
formation enthalpy at 0 K = -0.0286 eV/atom
size of the total moment = 0.000 μB/f.u.

```
data_CaCu2Pb2
_cell_length_a 7.7127
_cell_length_b 7.7127
_cell_length_c 3.8216
_cell_angle_alpha 90.00
_cell_angle_beta 90.00
_cell_angle_gamma 90.00
_space_group_name_H-M_alt 'P 4/m b m'
_space_group_IT_number 127
_space_group_name_Hall '-P 4 2ab'
loop_
_atom_site_label
_atom_site_type_symbol
_atom_site_fract_x
_atom_site_fract_y
_atom_site_fract_z
_atom_site_occupancy
Ca1 Ca 0.0000 0.0000 0.0000 1
Cu1 Cu 0.1143 0.3857 0.0000 1
Pb1 Pb 0.1786 0.6786 0.5000 1
```

---

Entry 6:
## Ca6Cu2Pb (PBE)

Data for a geometry-optimized Ca6Cu2Pb structure.

Values from the calculation:
volume = 1084.50 Å³ per cell
formation enthalpy at 0 K = -0.2345 eV/atom
size of the total moment = 0.000 μB/f.u.

```
data_Ca6Cu2Pb
_cell_length_a 9.7466
_cell_length_b 10.4120
_cell_length_c 10.6867
_cell_angle_alpha 90.00
_cell_angle_beta 90.00
_cell_angle_gamma 90.00
_space_group_name_H-M_alt 'I m m m'
_space_group_IT_number 71
_space_group_name_Hall '-I 2 2'
loop_
_atom_site_label
_atom_site_type_symbol
_atom_site_fract_x
_atom_site_fract_y
_atom_site_fract_z
_atom_site_occupancy
Ca1 Ca 0.0000 0.2039 0.2363 1
Ca2 Ca 0.2025 0.5000 0.1757 1
Ca3 Ca 0.2159 0.3144 0.5000 1
Cu1 Cu 0.0000 0.3742 0.0000 1
Cu2 Cu 0.0000 0.5000 0.3852 1
Pb1 Pb 0.0000 0.0000 0.0000 1
Pb2 Pb 0.0000 0.0000 0.5000 1
```

---

Entry 7:
## Ca2CuPb (PBE)

Data for a geometry-optimized Ca2CuPb structure.

Values from the calculation:
volume = 216.10 Å³ per cell
formation enthalpy at 0 K = -0.2377 eV/atom
size of the total moment = 0.000 μB/f.u.

```
data_Ca2CuPb
_cell_length_a 3.7057
_cell_length_b 5.1253
_cell_length_c 11.3780
_cell_angle_alpha 90.00
_cell_angle_beta 90.00
_cell_angle_gamma 90.00
_space_group_name_H-M_alt 'I m m 2'
_space_group_IT_number 44
loop_
_space_group_symop_operation_xyz
'x,y,z'
'-x,-y,z'
'-x,y,z'
'x,-y,z'
'x+1/2,y+1/2,z+1/2'
'-x+1/2,-y+1/2,z+1/2'
'-x+1/2,y+1/2,z+1/2'
'x+1/2,-y+1/2,z+1/2'
loop_
_atom_site_label
_atom_site_type_symbol
_atom_site_fract_x
_atom_site_fract_y
_atom_site_fract_z
_atom_site_occupancy
Ca1 Ca 0.0000 0.0000 0.0000 1
Ca2 Ca 0.0000 0.5000 0.2046 1
Cu1 Cu 0.0000 0.5000 0.7200 1
Pb1 Pb 0.0000 0.0000 0.4121 1
```

---

Entry 8:
## Ca2CuPb (PBE)

Data for a geometry-optimized Ca2CuPb structure.

Values from the calculation:
volume = 465.67 Å³ per cell
formation enthalpy at 0 K = -0.0289 eV/atom
size of the total moment = 0.000 μB/f.u.

```
data_Ca2CuPb
_cell_length_a 8.2920
_cell_length_b 8.2920
_cell_length_c 6.7726
_cell_angle_alpha 90.00
_cell_angle_beta 90.00
_cell_angle_gamma 90.00
_space_group_name_H-M_alt 'I -4 2 d'
_space_group_IT_number 122
_space_group_name_Hall 'I -4 2bw'
loop_
_atom_site_label
_atom_site_type_symbol
_atom_site_fract_x
_atom_site_fract_y
_atom_site_fract_z
_atom_site_occupancy
Ca1 Ca 0.2115 0.2500 0.1250 1
Cu1 Cu 0.0000 0.0000 0.0000 1
Pb1 Pb 0.0000 0.0000 0.5000 1
```